Tm6ScCd2 after structural relaxation. Source: the Alexandria database, functional PBE.

Unit cell a=6.408 b=6.408 c=11.614 alpha=107.59 beta=107.59 gamma=32.95
Fractional positions:
Tm: 0.017 0.017 0.340
Tm: 0.312 0.312 0.414
Tm: 0.321 0.321 0.121
Tm: 0.679 0.679 0.879
Tm: 0.688 0.688 0.586
Tm: 0.983 0.983 0.660
Sc: 0.000 0.000 0.000
Cd: 0.357 0.357 0.803
Cd: 0.643 0.643 0.197

Output
**Calculated density**: 8.657 Mg/m³
**SG**: C2/m (12)
**Total energy**: -4.000 eV per atom

TmSc2Cd6 after structural relaxation. Source: the Alexandria database, functional PBE.

Unit cell a=8.476 b=8.476 c=3.279 alpha=90.00 beta=90.00 gamma=120.00
Fractional positions:
Tm: 0.000 0.000 0.000
Sc: 0.333 0.667 0.000
Sc: 0.667 0.333 0.000
Cd: 0.000 0.336 0.500
Cd: 0.000 0.664 0.500
Cd: 0.336 0.000 0.500
Cd: 0.336 0.336 0.500
Cd: 0.664 0.000 0.500
Cd: 0.664 0.664 0.500

Output
**Calculated density**: 7.597 Mg/m³
**SG**: P6/mmm (191)
**Total energy**: -2.762 eV per atom

Tm5ScCd3 after structural relaxation. Source: the Alexandria database, functional PBE.

Unit cell a=9.004 b=9.004 c=6.721 alpha=90.00 beta=90.00 gamma=120.00
Fractional positions:
Tm: 0.000 0.325 0.250
Tm: 0.000 0.675 0.750
Tm: 0.325 0.000 0.250
Tm: 0.325 0.325 0.750
Tm: 0.333 0.667 0.000
Tm: 0.333 0.667 0.500
Tm: 0.667 0.333 0.000
Tm: 0.667 0.333 0.500
Tm: 0.675 0.000 0.750
Tm: 0.675 0.675 0.250
Sc: 0.000 0.000 0.000
Sc: 0.000 0.000 0.500
Cd: 0.000 0.337 0.750
Cd: 0.000 0.663 0.250
Cd: 0.337 0.000 0.750
Cd: 0.337 0.337 0.250
Cd: 0.663 0.000 0.250
Cd: 0.663 0.663 0.750

Output
**Calculated density**: 8.633 Mg/m³
**SG**: P6_3/mcm (193)
**Total energy**: -3.674 eV per atom

Tm2ScCd8 after structural relaxation. Source: the Alexandria database, functional PBE.

Unit cell a=8.405 b=8.405 c=8.405 alpha=145.48 beta=129.20 gamma=62.87
Fractional positions:
Tm: 0.201 0.201 0.000
Tm: 0.799 0.799 0.000
Sc: 0.500 0.500 0.000
Cd: 0.071 0.363 0.708
Cd: 0.210 0.000 0.210
Cd: 0.344 0.637 0.708
Cd: 0.345 0.845 0.500
Cd: 0.655 0.155 0.500
Cd: 0.656 0.363 0.292
Cd: 0.790 0.000 0.790
Cd: 0.929 0.637 0.292

Output
**Calculated density**: 8.257 Mg/m³
**SG**: Immm (71)
**Total energy**: -2.203 eV per atom

TmScCd4 after structural relaxation. Source: the Alexandria database, functional PBE.

Unit cell a=5.802 b=5.802 c=5.802 alpha=60.00 beta=60.00 gamma=60.00
Fractional positions:
Tm: 0.000 0.000 0.000
Sc: 0.750 0.750 0.750
Cd: 0.375 0.375 0.375
Cd: 0.375 0.375 0.875
Cd: 0.375 0.875 0.375
Cd: 0.875 0.375 0.375

Output
**Energy relative to the lowest polymorph listed for this composition**: 0.0753 eV/atom
**Calculated density**: 7.980 Mg/m³
**SG**: F-43m (216)

TmSc12Cd3 after structural relaxation. Source: the Alexandria database, functional PBE.

Unit cell a=4.533 b=4.533 c=18.472 alpha=90.00 beta=90.00 gamma=90.00
Fractional positions:
Tm: 0.000 0.000 0.000
Sc: 0.000 0.500 0.132
Sc: 0.000 0.500 0.378
Sc: 0.000 0.500 0.622
Sc: 0.000 0.500 0.868
Sc: 0.500 0.000 0.132
Sc: 0.500 0.000 0.378
Sc: 0.500 0.000 0.622
Sc: 0.500 0.000 0.868
Sc: 0.500 0.500 0.000
Sc: 0.500 0.500 0.257
Sc: 0.500 0.500 0.500
Sc: 0.500 0.500 0.743
Cd: 0.000 0.000 0.257
Cd: 0.000 0.000 0.500
Cd: 0.000 0.000 0.743

Output
**Calculated density**: 4.575 Mg/m³
**SG**: P4/mmm (123)
**Total energy**: -5.266 eV per atom

Tm4Sc2Cd after structural relaxation. Source: the Alexandria database, functional PBE.

Unit cell a=5.319 b=6.553 c=11.395 alpha=90.00 beta=103.60 gamma=90.00
Fractional positions:
Tm: 0.068 0.250 0.141
Tm: 0.210 0.750 0.423
Tm: 0.354 0.507 0.706
Tm: 0.354 0.993 0.706
Tm: 0.646 0.007 0.294
Tm: 0.646 0.493 0.294
Tm: 0.790 0.250 0.577
Tm: 0.932 0.750 0.859
Sc: 0.217 0.250 0.432
Sc: 0.484 0.250 0.975
Sc: 0.516 0.750 0.025
Sc: 0.783 0.750 0.568
Cd: 0.078 0.750 0.151
Cd: 0.922 0.250 0.849

Output
**Calculated density**: 7.554 Mg/m³
**SG**: P2_1/m (11)
**Total energy**: -4.453 eV per atom

TmScCd5 after structural relaxation. Source: the Alexandria database, functional PBE.

Unit cell a=4.975 b=4.975 c=6.878 alpha=90.00 beta=90.00 gamma=90.00
Fractional positions:
Tm: 0.000 0.000 0.000
Sc: 0.500 0.500 0.500
Cd: 0.000 0.500 0.276
Cd: 0.000 0.500 0.724
Cd: 0.500 0.000 0.276
Cd: 0.500 0.000 0.724
Cd: 0.500 0.500 0.000

Output
**Calculated density**: 7.567 Mg/m³
**SG**: P4/mmm (123)
**Total energy**: -2.266 eV per atom

TmSc2Cd3 after structural relaxation. Source: the Alexandria database, functional PBE.

Unit cell a=3.592 b=3.592 c=10.772 alpha=90.00 beta=90.00 gamma=90.00
Fractional positions:
Tm: 0.000 0.000 0.000
Sc: 0.000 0.000 0.338
Sc: 0.000 0.000 0.662
Cd: 0.500 0.500 0.180
Cd: 0.500 0.500 0.500
Cd: 0.500 0.500 0.820

Output
**Calculated density**: 7.123 Mg/m³
**SG**: P4/mmm (123)
**Total energy**: -3.608 eV per atom

Tm2ScCd after structural relaxation. Source: the Alexandria database, functional PBE.

Unit cell a=5.284 b=5.284 c=5.284 alpha=60.00 beta=60.00 gamma=60.00
Fractional positions:
Tm: 0.250 0.250 0.250
Tm: 0.750 0.750 0.750
Sc: 0.000 0.000 0.000
Cd: 0.500 0.500 0.500

Output
**Energy relative to the lowest polymorph listed for this composition**: 0.1031 eV/atom
**Calculated density**: 7.881 Mg/m³
**SG**: Fm-3m (225)

Tm3ScCd2 after structural relaxation. Source: the Alexandria database, functional PBE.

Unit cell a=3.537 b=3.537 c=12.508 alpha=90.00 beta=90.00 gamma=90.00
Fractional positions:
Tm: 0.000 0.000 0.000
Tm: 0.000 0.000 0.323
Tm: 0.000 0.000 0.677
Sc: 0.500 0.500 0.500
Cd: 0.500 0.500 0.160
Cd: 0.500 0.500 0.840

Output
**Calculated density**: 8.241 Mg/m³
**SG**: P4/mmm (123)
**Total energy**: -3.780 eV per atom

Tm3Sc4Cd after structural relaxation. Source: the Alexandria database, functional PBE.

Unit cell a=6.991 b=6.991 c=6.991 alpha=132.08 beta=108.51 gamma=90.71
Fractional positions:
Tm: 0.000 0.000 0.000
Tm: 0.441 0.644 0.798
Tm: 0.846 0.644 0.202
Sc: 0.004 0.331 0.673
Sc: 0.326 0.084 0.758
Sc: 0.326 0.569 0.242
Sc: 0.658 0.331 0.327
Cd: 0.578 0.078 0.500

Output
**Calculated density**: 5.824 Mg/m³
**SG**: Imm2 (44)
**Total energy**: -4.639 eV per atom

TmScCd after structural relaxation. Source: the Alexandria database, functional PBE.

Unit cell a=9.440 b=9.440 c=4.956 alpha=90.00 beta=90.00 gamma=159.85
Fractional positions:
Tm: 0.120 0.880 0.750
Tm: 0.880 0.120 0.250
Sc: 0.460 0.540 0.750
Sc: 0.540 0.460 0.250
Cd: 0.295 0.705 0.750
Cd: 0.705 0.295 0.250

Output
**Energy relative to the lowest polymorph listed for this composition**: 0.1007 eV/atom
**Calculated density**: 7.121 Mg/m³
**SG**: Cmcm (63)

Tm5ScCd4 after structural relaxation. Source: the Alexandria database, functional PBE.

Unit cell a=3.623 b=3.623 c=19.630 alpha=90.00 beta=90.00 gamma=90.00
Fractional positions:
Tm: 0.000 0.000 0.000
Tm: 0.000 0.000 0.193
Tm: 0.000 0.000 0.392
Tm: 0.000 0.000 0.608
Tm: 0.000 0.000 0.807
Sc: 0.500 0.500 0.500
Cd: 0.500 0.500 0.097
Cd: 0.500 0.500 0.292
Cd: 0.500 0.500 0.708
Cd: 0.500 0.500 0.903

Output
**Calculated density**: 8.633 Mg/m³
**SG**: P4/mmm (123)
**Total energy**: -3.470 eV per atom

Tm2ScCd3 after structural relaxation. Source: the Alexandria database, functional PBE.

Unit cell a=5.148 b=5.148 c=6.329 alpha=90.00 beta=90.00 gamma=120.00
Fractional positions:
Tm: 0.333 0.667 0.172
Tm: 0.667 0.333 0.828
Sc: 0.000 0.000 0.500
Cd: 0.000 0.000 0.000
Cd: 0.333 0.667 0.664
Cd: 0.667 0.333 0.336

Output
**Energy relative to the lowest polymorph listed for this composition**: 0.0041 eV/atom
**Calculated density**: 8.232 Mg/m³
**SG**: P-3m1 (164)

Tm2ScCd2 after structural relaxation. Source: the Alexandria database, functional PBE.

Unit cell a=6.248 b=6.248 c=6.248 alpha=143.20 beta=112.19 gamma=79.72
Fractional positions:
Tm: 0.219 0.219 0.000
Tm: 0.781 0.781 0.000
Sc: 0.500 0.000 0.500
Cd: 0.203 0.500 0.703
Cd: 0.797 0.500 0.297

Output
**Energy relative to the lowest polymorph listed for this composition**: 0.1404 eV/atom
**Calculated density**: 7.653 Mg/m³
**SG**: Immm (71)

TmScCd4 after structural relaxation. Source: the Alexandria database, functional PBE.

Unit cell a=6.580 b=6.580 c=6.646 alpha=104.53 beta=104.53 gamma=29.63
Fractional positions:
Tm: 0.000 0.000 0.000
Sc: 0.000 0.000 0.500
Cd: 0.328 0.328 0.171
Cd: 0.332 0.332 0.659
Cd: 0.668 0.668 0.341
Cd: 0.672 0.672 0.829

Output
**Energy relative to the lowest polymorph listed for this composition**: 0.0487 eV/atom
**Calculated density**: 8.021 Mg/m³
**SG**: C2/m (12)

TmSc4Cd3 after structural relaxation. Source: the Alexandria database, functional PBE.

Unit cell a=8.944 b=8.944 c=8.944 alpha=32.94 beta=32.94 gamma=32.94
Fractional positions:
Tm: 0.000 0.000 0.000
Sc: 0.130 0.130 0.130
Sc: 0.386 0.386 0.386
Sc: 0.614 0.614 0.614
Sc: 0.870 0.870 0.870
Cd: 0.259 0.259 0.259
Cd: 0.500 0.500 0.500
Cd: 0.741 0.741 0.741

Output
**Calculated density**: 6.051 Mg/m³
**SG**: R-3m (166)
**Total energy**: -4.217 eV per atom

Tm5Sc4Cd after structural relaxation. Source: the Alexandria database, functional PBE.

Unit cell a=3.426 b=3.426 c=22.912 alpha=90.00 beta=90.00 gamma=90.00
Fractional positions:
Tm: 0.000 0.000 0.000
Tm: 0.000 0.000 0.203
Tm: 0.000 0.000 0.406
Tm: 0.000 0.000 0.594
Tm: 0.000 0.000 0.797
Sc: 0.500 0.500 0.102
Sc: 0.500 0.500 0.305
Sc: 0.500 0.500 0.695
Sc: 0.500 0.500 0.898
Cd: 0.500 0.500 0.500

Output
**Calculated density**: 7.021 Mg/m³
**SG**: P4/mmm (123)
**Total energy**: -4.880 eV per atom

Tm8Sc2Cd after structural relaxation. Source: the Alexandria database, functional PBE.

Unit cell a=9.733 b=9.733 c=6.203 alpha=94.58 beta=94.58 gamma=32.17
Fractional positions:
Tm: 0.046 0.046 0.264
Tm: 0.156 0.156 0.798
Tm: 0.336 0.336 0.875
Tm: 0.419 0.419 0.405
Tm: 0.581 0.581 0.595
Tm: 0.664 0.664 0.125
Tm: 0.844 0.844 0.202
Tm: 0.954 0.954 0.736
Sc: 0.243 0.243 0.339
Sc: 0.757 0.757 0.661
Cd: 0.500 0.500 0.000

Output
**Calculated density**: 8.276 Mg/m³
**SG**: C2/m (12)
**Total energy**: -4.494 eV per atom

Tm2ScCd5 after structural relaxation. Source: the Alexandria database, functional PBE.

Unit cell a=8.211 b=8.211 c=8.211 alpha=144.50 beta=144.50 gamma=51.08
Fractional positions:
Tm: 0.242 0.242 0.000
Tm: 0.758 0.758 0.000
Sc: 0.500 0.500 0.000
Cd: 0.000 0.000 0.000
Cd: 0.117 0.617 0.500
Cd: 0.383 0.883 0.500
Cd: 0.617 0.117 0.500
Cd: 0.883 0.383 0.500

Output
**Calculated density**: 8.450 Mg/m³
**SG**: I4/mmm (139)
**Total energy**: -2.743 eV per atom

Tm3ScCd6 after structural relaxation. Source: the Alexandria database, functional PBE.

Unit cell a=8.982 b=5.064 c=10.826 alpha=90.00 beta=105.48 gamma=90.00
Fractional positions:
Tm: 0.035 0.250 0.396
Tm: 0.151 0.750 0.212
Tm: 0.259 0.250 0.003
Tm: 0.741 0.750 0.997
Tm: 0.849 0.250 0.788
Tm: 0.965 0.750 0.604
Sc: 0.448 0.250 0.602
Sc: 0.552 0.750 0.398
Cd: 0.049 0.750 0.906
Cd: 0.165 0.250 0.704
Cd: 0.269 0.750 0.510
Cd: 0.355 0.750 0.811
Cd: 0.360 0.250 0.311
Cd: 0.451 0.750 0.111
Cd: 0.549 0.250 0.889
Cd: 0.640 0.750 0.689
Cd: 0.645 0.250 0.189
Cd: 0.731 0.250 0.490
Cd: 0.835 0.750 0.296
Cd: 0.951 0.250 0.094

Output
**Calculated density**: 8.581 Mg/m³
**SG**: P2_1/m (11)
**Total energy**: -2.788 eV per atom

Tm2Sc3Cd after structural relaxation. Source: the Alexandria database, functional PBE.

Unit cell a=8.804 b=8.804 c=8.804 alpha=158.57 beta=46.36 gamma=139.40
Fractional positions:
Tm: 0.194 0.000 0.194
Tm: 0.806 0.000 0.806
Sc: 0.200 0.700 0.500
Sc: 0.361 0.491 0.870
Sc: 0.620 0.491 0.130
Cd: 0.802 0.802 0.000

Output
**Calculated density**: 6.003 Mg/m³
**SG**: Imm2 (44)
**Total energy**: -4.650 eV per atom